VASP calculation (PBE with a Hubbard U) on a relaxed K2LiInMo3O12 crystal.

Unit cell a=9.4467 b=7.1203 c=10.4355 alpha=72.22 beta=90.00 gamma=90.00
Fractional coordinates of all 38 atoms:
K 0.4974 0.1664 0.2084
K 0.9974 0.8336 0.7916
K 0.0579 0.4025 0.5939
K 0.5579 0.5975 0.4061
In 0.5917 0.7263 0.7407
In 0.0917 0.2737 0.2593
Mo 0.1715 0.8012 0.1868
Mo 0.6715 0.1988 0.8132
Mo 0.7848 0.5702 0.0753
Mo 0.2848 0.4298 0.9247
Mo 0.2803 0.9487 0.5463
Mo 0.7803 0.0513 0.4537
O 0.3415 0.8279 0.2494
O 0.8415 0.1721 0.7506
O 0.1920 0.8250 0.0128
O 0.6920 0.1750 0.9872
O 0.0620 0.0051 0.2051
O 0.5620 0.9949 0.7949
O 0.1046 0.5602 0.2882
O 0.6046 0.4398 0.7118
O 0.6257 0.5296 0.1676
O 0.1257 0.4704 0.8324
O 0.8708 0.7815 0.0943
O 0.3708 0.2185 0.9057
O 0.7506 0.6259 0.8957
O 0.2506 0.3741 0.1043
O 0.9013 0.3545 0.1365
O 0.4013 0.6455 0.8635
O 0.1495 0.7751 0.5430
O 0.6495 0.2249 0.4570
O 0.2414 0.0333 0.6869
O 0.7414 0.9667 0.3131
O 0.4551 0.8315 0.5630
O 0.9551 0.1685 0.4370
O 0.2701 0.1599 0.3932
O 0.7701 0.8401 0.6068
Li 0.3479 0.9564 0.8668
Li 0.8479 0.0436 0.1332

Values from the calculation:
- Raw total energy: -6.4036 eV per atom